The following is a PBE-GGA calculation of crystalline TaCoPt at its relaxed geometry, from Alexandria.

Cell lengths 7.6050, 10.0713, 7.2013 Å; angles 90.00, 90.00, 90.00 degrees
Last column: nearest neighbours and their distance in Å.
Space group Ima2 (No. 46)
Inequivalent atoms, fractional coordinates:
Ta (0.0458, 0.1536, 0.0000) (multiplicity 8)  3 Co 2.50-2.60, 5 Pt 2.66-2.74
Ta (0.2500, 0.5646, 0.0037) (multiplicity 4)  6 Co 2.53-2.65, 4 Pt 2.62-2.75
Co (0.0000, 0.0000, 0.7176) (multiplicity 4)  4 Ta 2.53-2.58, 2 Pt 2.59
Co (0.0618, 0.1202, 0.3578) (multiplicity 8)  4 Ta 2.50-2.65, 1 Co 2.60, 2 Pt 2.72-2.80
Pt (0.2500, 0.1738, 0.6894) (multiplicity 4)  6 Co 2.59-2.84, 5 Ta 2.70-2.75
Pt (0.2500, 0.5477, 0.6377) (multiplicity 4)  5 Ta 2.64-2.74, 4 Co 2.72-2.94, 2 Pt 2.79-2.84
Pt (0.2500, 0.7004, 0.3140) (multiplicity 4)  4 Ta 2.62-2.73, 2 Pt 2.79-2.84, 2 Co 2.86

Computed properties:
**Total moment**: 0.01 μB/cell
**Distance to the lowest polymorph of the same formula**: 3.177 kcal/mol of atoms
**Formation energy from the elements**: -0.277 eV per atom
**Crystal system**: orthorhombic